1.
V2C: PBEsol geometry, meta-GGA SCAN.

Output
Raw total energy, eV/atom: -15.27
Space-group type: P6_3/mmc
DOS(E_F), states/eV/cell: 4.696
DFT formation energy, meV per atom: -241
Calculated volume, Å³/f.u.: 33.7

CIF file:
```
data_V2C
_chemical_formula_sum 'V4 C2'
_cell_length_a 2.902
_cell_length_b 2.902
_cell_length_c 9.231
_cell_angle_alpha 90.00
_cell_angle_beta 90.00
_cell_angle_gamma 120.00
_space_group_name_H-M_alt 'P 1'
_space_group_IT_number 1
_space_group_name_Hall 'P 1'
loop_
_atom_site_label
_atom_site_fract_x
_atom_site_fract_y
_atom_site_fract_z
_atom_site_occupancy
V1 0.333 0.667 0.118 1
V2 0.333 0.667 0.382 1
V3 0.667 0.333 0.618 1
V4 0.667 0.333 0.882 1
C1 0.000 0.000 0.000 1
C2 0.000 0.000 0.500 1
```


2.
V6C5: PBEsol geometry, meta-GGA SCAN.

Output
Raw total energy, eV/atom: -14.77
Space-group type: P3_112
DOS(E_F), states/eV/cell: 15.588
DFT formation energy, meV per atom: -635
Calculated volume, Å³/f.u.: 104.6

CIF file:
```
data_V6C5
_chemical_formula_sum 'V18 C15'
_cell_length_a 5.048
_cell_length_b 5.048
_cell_length_c 14.215
_cell_angle_alpha 90.00
_cell_angle_beta 90.00
_cell_angle_gamma 120.00
_space_group_name_H-M_alt 'P 1'
_space_group_IT_number 1
_space_group_name_Hall 'P 1'
loop_
_atom_site_label
_atom_site_fract_x
_atom_site_fract_y
_atom_site_fract_z
_atom_site_occupancy
V1 0.196 0.444 0.418 1
V2 0.196 0.752 0.582 1
V3 0.197 0.085 0.248 1
V4 0.197 0.111 0.752 1
V5 0.248 0.444 0.915 1
V6 0.248 0.804 0.085 1
V7 0.532 0.087 0.910 1
V8 0.532 0.445 0.090 1
V9 0.555 0.087 0.423 1
V10 0.555 0.468 0.577 1
V11 0.556 0.752 0.751 1
V12 0.556 0.804 0.249 1
V13 0.889 0.085 0.085 1
V14 0.889 0.803 0.915 1
V15 0.913 0.445 0.243 1
V16 0.913 0.468 0.757 1
V17 0.915 0.111 0.581 1
V18 0.915 0.803 0.419 1
C1 0.221 0.442 0.667 1
C2 0.221 0.779 0.333 1
C3 0.223 0.445 0.167 1
C4 0.223 0.777 0.833 1
C5 0.226 0.113 0.000 1
C6 0.227 0.114 0.500 1
C7 0.555 0.777 0.500 1
C8 0.558 0.779 0.000 1
C9 0.559 0.118 0.167 1
C10 0.559 0.441 0.833 1
C11 0.882 0.441 0.500 1
C12 0.886 0.114 0.833 1
C13 0.886 0.773 0.167 1
C14 0.887 0.113 0.333 1
C15 0.887 0.774 0.667 1
```


3.
V2C: PBEsol geometry, meta-GGA SCAN.

Output
Raw total energy, eV/atom: -15.57
Space-group type: P-3m1
DOS(E_F), states/eV/cell: 1.011
DFT formation energy, meV per atom: -547
Calculated volume, Å³/f.u.: 31.8

CIF file:
```
data_V2C
_chemical_formula_sum 'V2 C1'
_cell_length_a 2.861
_cell_length_b 2.861
_cell_length_c 4.480
_cell_angle_alpha 90.00
_cell_angle_beta 90.00
_cell_angle_gamma 120.00
_space_group_name_H-M_alt 'P 1'
_space_group_IT_number 1
_space_group_name_Hall 'P 1'
loop_
_atom_site_label
_atom_site_fract_x
_atom_site_fract_y
_atom_site_fract_z
_atom_site_occupancy
V1 0.333 0.667 0.254 1
V2 0.667 0.333 0.746 1
C1 0.000 0.000 0.000 1
```


4.
VC: PBEsol geometry, meta-GGA SCAN.

Output
Raw total energy, eV/atom: -14.30
Space-group type: Fm-3m
DOS(E_F), states/eV/cell: 1.157
DFT formation energy, meV per atom: -504
Calculated volume, Å³/f.u.: 17.5

CIF file:
```
data_VC
_chemical_formula_sum 'V1 C1'
_cell_length_a 2.912
_cell_length_b 2.912
_cell_length_c 2.912
_cell_angle_alpha 60.00
_cell_angle_beta 60.00
_cell_angle_gamma 60.00
_space_group_name_H-M_alt 'P 1'
_space_group_IT_number 1
_space_group_name_Hall 'P 1'
loop_
_atom_site_label
_atom_site_fract_x
_atom_site_fract_y
_atom_site_fract_z
_atom_site_occupancy
V1 0.000 0.000 0.000 1
C1 0.500 0.500 0.500 1
```


5.
W3C4: PBEsol geometry, meta-GGA SCAN.

Output
Raw total energy, eV/atom: -34.98
Space-group type: Pm-3m
DOS(E_F), states/eV/cell: 2.294
DFT formation energy, meV per atom: 660
Calculated volume, Å³/f.u.: 77.4

CIF file:
```
data_W3C4
_chemical_formula_sum 'W3 C4'
_cell_length_a 4.261
_cell_length_b 4.261
_cell_length_c 4.261
_cell_angle_alpha 90.00
_cell_angle_beta 90.00
_cell_angle_gamma 90.00
_space_group_name_H-M_alt 'P 1'
_space_group_IT_number 1
_space_group_name_Hall 'P 1'
loop_
_atom_site_label
_atom_site_fract_x
_atom_site_fract_y
_atom_site_fract_z
_atom_site_occupancy
W1 0.000 0.000 0.500 1
W2 0.000 0.500 0.000 1
W3 0.500 0.000 0.000 1
C1 0.000 0.000 0.000 1
C2 0.000 0.500 0.500 1
C3 0.500 0.000 0.500 1
C4 0.500 0.500 0.000 1
```


6.
WC: PBEsol geometry, meta-GGA SCAN.

Output
Raw total energy, eV/atom: -39.34
Space-group type: P-62m
DOS(E_F), states/eV/cell: 1.795
DFT formation energy, meV per atom: 558
Calculated volume, Å³/f.u.: 23.1
Polymorph energy (0 for the lowest one), eV/atom: 0.6317

CIF file:
```
data_WC
_chemical_formula_sum 'W3 C3'
_cell_length_a 5.288
_cell_length_b 5.288
_cell_length_c 2.865
_cell_angle_alpha 90.00
_cell_angle_beta 90.00
_cell_angle_gamma 120.00
_space_group_name_H-M_alt 'P 1'
_space_group_IT_number 1
_space_group_name_Hall 'P 1'
loop_
_atom_site_label
_atom_site_fract_x
_atom_site_fract_y
_atom_site_fract_z
_atom_site_occupancy
W1 0.000 0.627 0.000 1
W2 0.373 0.373 0.000 1
W3 0.627 0.000 0.000 1
C1 0.000 0.000 0.000 1
C2 0.333 0.667 0.500 1
C3 0.667 0.333 0.500 1
```


7.
WC: PBEsol geometry, meta-GGA SCAN.

Output
Raw total energy, eV/atom: -39.64
Space-group type: P-62m
DOS(E_F), states/eV/cell: 0.836
DFT formation energy, meV per atom: 253
Calculated volume, Å³/f.u.: 22.0
Polymorph energy (0 for the lowest one), eV/atom: 0.3264

CIF file:
```
data_WC
_chemical_formula_sum 'W3 C3'
_cell_length_a 5.184
_cell_length_b 5.184
_cell_length_c 2.837
_cell_angle_alpha 90.00
_cell_angle_beta 90.00
_cell_angle_gamma 120.00
_space_group_name_H-M_alt 'P 1'
_space_group_IT_number 1
_space_group_name_Hall 'P 1'
loop_
_atom_site_label
_atom_site_fract_x
_atom_site_fract_y
_atom_site_fract_z
_atom_site_occupancy
W1 0.000 0.000 0.000 1
W2 0.333 0.667 0.500 1
W3 0.667 0.333 0.500 1
C1 0.000 0.389 0.000 1
C2 0.389 0.000 0.000 1
C3 0.611 0.611 0.000 1
```


8.
W9C4: PBEsol geometry, meta-GGA SCAN.

Output
Raw total energy, eV/atom: -51.26
Space-group type: R32
DOS(E_F), states/eV/cell: 10.328
DFT formation energy, meV per atom: 98
Calculated volume, Å³/f.u.: 164.3

CIF file:
```
data_W9C4
_chemical_formula_sum 'W18 C8'
_cell_length_a 7.006
_cell_length_b 7.006
_cell_length_c 7.006
_cell_angle_alpha 79.51
_cell_angle_beta 79.51
_cell_angle_gamma 79.51
_space_group_name_H-M_alt 'P 1'
_space_group_IT_number 1
_space_group_name_Hall 'P 1'
loop_
_atom_site_label
_atom_site_fract_x
_atom_site_fract_y
_atom_site_fract_z
_atom_site_occupancy
W1 0.024 0.027 0.694 1
W2 0.027 0.694 0.024 1
W3 0.037 0.358 0.356 1
W4 0.302 0.636 0.305 1
W5 0.305 0.302 0.636 1
W6 0.306 0.973 0.976 1
W7 0.356 0.037 0.358 1
W8 0.358 0.356 0.037 1
W9 0.364 0.698 0.695 1
W10 0.636 0.305 0.302 1
W11 0.642 0.963 0.644 1
W12 0.644 0.642 0.963 1
W13 0.694 0.024 0.027 1
W14 0.695 0.364 0.698 1
W15 0.698 0.695 0.364 1
W16 0.963 0.644 0.642 1
W17 0.973 0.976 0.306 1
W18 0.976 0.306 0.973 1
C1 0.000 0.000 0.000 1
C2 0.000 0.335 0.665 1
C3 0.168 0.832 0.500 1
C4 0.335 0.665 0.000 1
C5 0.500 0.168 0.832 1
C6 0.500 0.500 0.500 1
C7 0.665 0.000 0.335 1
C8 0.832 0.500 0.168 1
```


| no. | mass density (g/cm³) |
| --- | --- |
| 1 | 5.62 |
| 2 | 5.81 |
| 3 | 5.96 |
| 4 | 5.99 |
| 5 | 12.87 |
| 6 | 14.06 |
| 7 | 14.78 |
| 8 | 17.21 |